Nd4MgF2 (PBE, relaxed); magnetic moment = 0.023 μB/f.u.; space-group type = Immm (71); electronic total energy = -0.33937 Ry/atom; ρ = 5.93 g cm⁻³
1.0
6.759 -3.725 0.000
6.759 3.725 0.000
-1.010 0.000 3.554
F Mg Nd
2 1 4
direct
0.657 0.657 0.158
0.343 0.343 0.842
0.000 0.000 0.000
0.596 0.140 0.368
0.140 0.596 0.368
0.860 0.404 0.632
0.404 0.860 0.632